Version A
A plane-wave DFT calculation with PBE was carried out for a relaxed Li3BiH crystal.

Output
For the density of states at the Fermi level, the calculation gives 0.03 states/eV/atom. Its space-group type is C2/m. The crystal system is monoclinic.

a = 6.452 Å, b = 6.452 Å, c = 6.161 Å
α = 103.13°, β = 103.13°, γ = 44.21°
Positions (direct):
Li 0.069 0.069 0.368
Li 0.161 0.161 0.959
Li 0.390 0.390 0.321
Li 0.610 0.610 0.679
Li 0.839 0.839 0.041
Li 0.931 0.931 0.632
Bi 0.379 0.379 0.822
Bi 0.621 0.621 0.178
H 0.091 0.091 0.668
H 0.909 0.909 0.332

Version B
A plane-wave DFT calculation with PBE was carried out for a relaxed Li3BiH crystal.

Output
For the density of states at the Fermi level, the calculation gives 0.07 states/eV/atom. Its space-group type is Pm-3m. The crystal system is cubic.

a = 5.387 Å, b = 5.387 Å, c = 5.387 Å
α = 90.00°, β = 90.00°, γ = 90.00°
Positions (direct):
Li 0.000 0.000 0.500
Li 0.000 0.500 0.000
Li 0.500 0.000 0.000
Bi 0.000 0.000 0.000
H 0.500 0.500 0.500

Which of the structures shown above is the most stable? The most stable is version A.